A plane-wave DFT calculation with SCAN was carried out for a crystal of KSbH2 relaxed with PBEsol.

## Properties
For the calculated total energy, the calculation gives -12.99 eV/atom.

Cell: 5.0101 5.0101 12.7844 Å, 90.00 90.00 90.00°
Last column: nearest neighbours and their distance in Å.
Space group I-42d (No. 122)
Symmetry-distinct sites (fractional):
K (0.0000, 0.0000, 0.0000) [4 per cell]  8 H 3.05-3.40
Sb (0.0000, 0.0000, 0.5000) [4 per cell]  4 H 2.04
H (0.0451, 0.2500, 0.6250) [8 per cell]  2 Sb 2.04